DFT (PBE-GGA) results for crystalline GaOsPtN2 at its relaxed geometry.

Unit cell a=3.757 b=3.757 c=5.584 alpha=90.00 beta=90.00 gamma=90.00
Positions (direct):
Ga 0.000 0.000 0.000
Os 0.500 0.500 0.500
Pt 0.500 0.500 0.000
N 0.000 0.500 0.500
N 0.500 0.000 0.500

Properties
Its space group is P4/mmm, No. 123. The total energy comes out at -6.9385 eV/atom.